No. 1
## LiLaTbCu (PBE-GGA)

Data for a relaxed structure of LiLaTbCu.

formation energy: 0.013 eV per atom
raw total energy: -3.879 eV per atom

Lattice parameters (Å, degrees): 5.1779 5.1779 5.1779 60.00 60.00 60.00
Last column: nearest neighbours and their distance in Å.
Element x y z (fractional)
Li 0.7500 0.7500 0.7500  4 Tb 3.17, 4 La 3.17
Cu 0.2500 0.2500 0.2500  4 Tb 3.17, 4 La 3.17
La 0.5000 0.5000 0.5000  4 Li 3.17, 4 Cu 3.17
Tb 0.0000 0.0000 0.0000  4 Li 3.17, 4 Cu 3.17

No. 2
## LiLa2CuTc (PBE-GGA)

Data for a relaxed structure of LiLa2CuTc.

formation energy: 0.243 eV per atom
raw total energy: -5.004 eV per atom

Lattice parameters (Å, degrees): 5.3598 4.9681 5.3598 90.00 90.00 90.00
Last column: nearest neighbours and their distance in Å.
Element x y z (fractional)
Li 0.5000 0.5000 0.5000  8 La 3.65, 4 Cu 3.79
Cu 0.0000 0.5000 0.0000  2 Tc 2.48
La 0.0000 0.0000 0.5000  2 Tc 2.68
La 0.5000 0.0000 0.0000  2 Tc 2.68
Tc 0.0000 0.0000 0.0000  2 Cu 2.48, 4 La 2.68

No. 3
## LiLaTlCu (PBE-GGA)

Data for a relaxed structure of LiLaTlCu.

formation energy: -0.253 eV per atom
raw total energy: -3.579 eV per atom

Lattice parameters (Å, degrees): 4.9389 4.9389 4.9389 60.00 60.00 60.00
Last column: nearest neighbours and their distance in Å.
Element x y z (fractional)
Cu 0.7500 0.7500 0.7500  4 La 3.02, 4 Tl 3.02
La 0.0000 0.0000 0.0000  4 Li 3.02, 4 Cu 3.02
Tl 0.5000 0.5000 0.5000  4 Cu 3.02, 4 Li 3.02
Li 0.2500 0.2500 0.2500  4 Tl 3.02, 4 La 3.02

No. 4
## LiLaTmCu (PBE-GGA)

Data for a relaxed structure of LiLaTmCu.

formation energy: 0.002 eV per atom
raw total energy: -3.850 eV per atom

Lattice parameters (Å, degrees): 5.1366 5.1366 5.1366 60.00 60.00 60.00
Last column: nearest neighbours and their distance in Å.
Element x y z (fractional)
La 0.2500 0.2500 0.2500  4 Cu 3.15, 4 Li 3.15
Cu 0.0000 0.0000 0.0000  4 Tm 3.15, 4 La 3.15
Tm 0.7500 0.7500 0.7500  4 Li 3.15, 4 Cu 3.15
Li 0.5000 0.5000 0.5000  4 La 3.15, 4 Tm 3.15

| no. | spin magnetization (μB/cell) |
| --- | --- |
| 1 | 0.00 |
| 2 | 0.00 |
| 3 | 0.00 |
| 4 | 0.00 |